(1)
A plane-wave DFT calculation with PBE was carried out for a geometry-optimized La2TiIn structure.

Output
total DFT energy (no corrections): -0.1782 hartree per atom
energy above the lowest structure with this stoichiometry: 0.242 eV per atom
theoretical density: 6.59 Mg/m³
space group: R-3m, No. 166
E_form: 0.27 eV per atom

The structure in POSCAR format:
```
La2TiIn
1.0
3.299 0.000 0.000
1.649 2.857 0.000
1.649 0.952 11.774
In Ti La
1 1 2
Cartesian
3.299 1.904 5.887 In
0.000 0.000 0.000 Ti
1.649 0.952 8.833 La
4.948 2.857 2.941 La
```

=====

(2)
A plane-wave DFT calculation with PBE was carried out for a geometry-optimized Re3SiIr structure.

Output
total DFT energy (no corrections): -0.2920 hartree per atom
energy above the lowest structure with this stoichiometry: 1.070 eV per atom
theoretical density: 12.28 Mg/m³
space group: Pm-3m, No. 221
energy relative to the elements, uncorrected: 2.38 eV/atom

The structure in POSCAR format:
```
Re3SiIr
1.0
-3.058 -2.922 -2.102
2.632 -3.696 1.309
-2.455 -0.324 4.021
Re Si Ir
3 1 1
Cartesian
1.316 -1.848 0.655 Re
-1.228 -0.162 2.011 Re
-1.529 -1.461 -1.051 Re
-1.440 -3.471 1.614 Si
0.000 0.000 0.000 Ir
```

=====

(3)
A plane-wave DFT calculation with PBE was carried out for a geometry-optimized LiLaAl structure.

Output
total DFT energy (no corrections): -0.1333 hartree per atom
energy above the lowest structure with this stoichiometry: 0.138 eV per atom
theoretical density: 3.71 Mg/m³
space group: Cmmm, No. 65
E_form: -0.10 eV per atom

The structure in POSCAR format:
```
LiLaAl
1.0
3.329 0.000 0.000
0.000 5.614 0.000
0.000 -2.801 8.277
Li La Al
2 2 2
Cartesian
2.868 0.666 2.047 Li
2.868 3.632 2.046 Li
1.203 2.152 4.809 La
1.203 -0.653 7.560 La
2.868 2.154 7.722 Al
2.868 -0.656 4.647 Al
```

=====

(4)
A plane-wave DFT calculation with PBE was carried out for a geometry-optimized SiSbPb2Au6 structure.

Output
total DFT energy (no corrections): -0.1361 hartree per atom
theoretical density: 12.29 Mg/m³
space group: Pmmn, No. 59
energy relative to the elements, uncorrected: -0.04 eV/atom

The structure in POSCAR format:
```
SiSbPb2Au6
1.0
5.839 0.000 0.000
0.000 9.138 0.000
0.000 0.000 8.846
Si Sb Pb Au
2 2 4 12
Cartesian
2.920 2.211 4.423 Si
0.000 6.927 0.000 Si
0.000 6.493 4.423 Sb
2.920 2.645 0.000 Sb
2.920 6.662 2.210 Pb
0.000 2.476 6.632 Pb
2.920 6.662 6.636 Pb
0.000 2.476 2.213 Pb
2.920 1.039 2.194 Au
2.920 1.039 6.652 Au
0.000 8.099 2.229 Au
0.000 8.099 6.617 Au
1.396 0.183 4.423 Au
4.443 0.183 4.423 Au
1.492 4.193 4.423 Au
4.347 4.193 4.423 Au
4.412 4.945 0.000 Au
1.428 4.945 0.000 Au
1.523 8.955 0.000 Au
4.316 8.955 0.000 Au
```

=====

(5)
A plane-wave DFT calculation with PBE was carried out for a geometry-optimized K2Sn2As2P structure.

Output
total DFT energy (no corrections): -0.1374 hartree per atom
theoretical density: 3.28 Mg/m³
space group: P-1, No. 2
E_form: -0.18 eV per atom

The structure in POSCAR format:
```
K2Sn2As2P
1.0
-2.766 -4.177 0.763
0.092 -6.402 -5.107
7.069 -3.810 0.670
K Sn As P
2 2 2 1
Cartesian
4.147 -11.100 -3.485 K
0.247 -3.289 -0.189 K
3.379 -8.262 -0.910 Sn
1.016 -6.127 -2.764 Sn
0.587 -8.194 -0.919 As
3.808 -6.195 -2.755 As
0.000 0.000 0.000 P
```

=====

(6)
A plane-wave DFT calculation with PBE was carried out for a geometry-optimized CrIn2Rh structure.

Output
total DFT energy (no corrections): -0.2059 hartree per atom
energy above the lowest structure with this stoichiometry: 0.058 eV per atom
theoretical density: 9.02 Mg/m³
space group: P4/mmm, No. 123
E_form: 0.01 eV per atom

The structure in POSCAR format:
```
CrIn2Rh
1.0
-0.348 3.272 -2.812
0.488 -2.773 -3.287
-3.742 -0.507 -0.128
Cr In Rh
1 2 1
Cartesian
-1.627 -1.640 -1.708 Cr
0.000 0.000 0.000 In
0.070 0.250 -3.050 In
-2.045 1.382 -1.470 Rh
```

=====

(7)
A plane-wave DFT calculation with PBE was carried out for a geometry-optimized CaAl2GaAg4 structure.

Output
total DFT energy (no corrections): -0.1137 hartree per atom
theoretical density: 6.27 Mg/m³
space group: R-3m, No. 166
E_form: -0.10 eV per atom

The structure in POSCAR format:
```
CaAl2GaAg4
1.0
-1.508 -0.119 -4.250
-3.954 -1.960 -0.936
-5.993 7.121 -0.467
Ca Al Ga Ag
1 2 1 4
Cartesian
0.000 0.000 0.000 Ca
-8.586 3.771 -4.242 Al
-2.870 1.271 -1.412 Al
-5.728 2.521 -2.827 Ga
-6.981 4.867 -2.448 Ag
-7.090 0.968 -4.695 Ag
-4.366 4.074 -0.959 Ag
-4.475 0.175 -3.206 Ag
```

=====

(8)
A plane-wave DFT calculation with PBE was carried out for a geometry-optimized SrEuCd2 structure.

Output
total DFT energy (no corrections): -0.1392 hartree per atom
theoretical density: 6.06 Mg/m³
space group: P4/mmm, No. 123
E_form: -0.34 eV per atom

The structure in POSCAR format:
```
SrEuCd2
1.0
-0.925 0.656 3.836
-1.670 -3.628 0.218
6.993 -3.086 2.214
Eu Sr Cd
1 1 2
Cartesian
-1.297 -1.486 2.027 Eu
2.199 -3.029 3.134 Sr
5.333 -2.353 1.688 Cd
1.660 -0.733 0.525 Cd
```

=====

(9)
A plane-wave DFT calculation with PBE was carried out for a geometry-optimized Ba2AcNpS6 structure.

Output
total DFT energy (no corrections): -0.2331 hartree per atom
theoretical density: 5.13 Mg/m³
space group: P2_1/c, No. 14
energy relative to the elements, uncorrected: -1.78 eV/atom

The structure in POSCAR format:
```
Ba2AcNpS6
1.0
7.360 0.000 -0.054
0.000 7.730 0.000
-0.014 0.000 10.602
Ba Ac Np S
4 2 2 12
Cartesian
0.154 7.212 2.652 Ba
3.827 4.383 7.925 Ba
7.192 0.518 7.896 Ba
3.519 3.347 2.622 Ba
3.680 0.000 -0.027 Ac
-0.007 3.865 5.301 Ac
3.673 0.000 5.274 Np
0.000 3.865 0.000 Np
2.097 5.311 0.540 S
5.770 6.284 5.814 S
5.250 2.419 10.008 S
1.577 1.446 4.734 S
2.330 5.539 4.662 S
6.003 6.056 9.936 S
5.017 2.191 5.885 S
1.343 1.674 0.612 S
6.594 4.136 2.428 S
2.906 7.458 7.756 S
0.753 3.594 8.120 S
4.440 0.271 2.792 S
```

=====

(10)
A plane-wave DFT calculation with PBE was carried out for a geometry-optimized GdInHgGe structure.

Output
total DFT energy (no corrections): -0.2100 hartree per atom
theoretical density: 9.37 Mg/m³
space group: F-43m, No. 216
E_form: -0.28 eV per atom

The structure in POSCAR format:
```
GdInHgGe
1.0
5.151 0.000 0.000
2.576 4.461 0.000
2.576 1.487 4.206
Ge Gd Hg In
1 1 1 1
Cartesian
7.727 4.461 3.154 Ge
0.000 0.000 0.000 Gd
2.576 1.487 1.051 Hg
5.151 2.974 2.103 In
```

=====

(11)
A plane-wave DFT calculation with PBE was carried out for a geometry-optimized TmPuTh14 structure.

Output
total DFT energy (no corrections): -0.2803 hartree per atom
theoretical density: 11.94 Mg/m³
space group: Amm2, No. 38
E_form: 0.04 eV per atom

The structure in POSCAR format:
```
TmPuTh14
1.0
-1.991 -6.848 -0.068
3.778 2.531 5.493
-9.775 2.788 5.437
Tm Pu Th
1 1 14
Cartesian
-1.350 3.535 7.980 Tm
-4.233 -1.153 5.201 Pu
2.582 0.587 4.341 Th
-0.303 -4.103 1.559 Th
-3.256 2.236 5.219 Th
0.692 -0.683 1.593 Th
-2.365 0.083 7.925 Th
1.584 -2.839 4.303 Th
-7.570 -0.162 4.730 Th
-2.741 -1.540 2.044 Th
-6.678 -2.316 7.438 Th
-1.849 -3.694 4.752 Th
-5.706 1.100 7.478 Th
-0.842 -0.287 4.773 Th
-8.604 -3.586 4.705 Th
-3.713 -4.981 1.984 Th
```

=====

(12)
A plane-wave DFT calculation with PBE was carried out for a geometry-optimized SbPRuCl2 structure.

Output
total DFT energy (no corrections): -0.1543 hartree per atom
energy above the lowest structure with this stoichiometry: 0.000 eV per atom
theoretical density: 5.08 Mg/m³
space group: P4/mmm, No. 123
energy relative to the elements, uncorrected: 0.30 eV/atom

The structure in POSCAR format:
```
SbPRuCl2
1.0
4.767 0.000 0.000
0.000 4.767 0.000
0.000 0.000 4.675
Sb Cl P Ru
1 2 1 1
Cartesian
2.384 2.384 2.337 Sb
0.000 2.384 0.000 Cl
2.384 0.000 0.000 Cl
0.000 0.000 2.337 P
0.000 0.000 0.000 Ru
```

=====

(13)
A plane-wave DFT calculation with PBE was carried out for a geometry-optimized TiTcI3 structure.

Output
total DFT energy (no corrections): -0.1435 hartree per atom
energy above the lowest structure with this stoichiometry: 0.000 eV per atom
theoretical density: 4.91 Mg/m³
space group: Pm-3m, No. 221
energy relative to the elements, uncorrected: 0.68 eV/atom

The structure in POSCAR format:
```
TiTcI3
1.0
-5.087 0.814 -2.261
-2.112 -4.040 3.297
-1.147 3.830 3.958
I Tc Ti
3 1 1
Cartesian
-1.056 -2.020 1.648 I
-0.573 1.915 1.979 I
-2.543 0.407 -1.131 I
-4.173 0.302 2.497 Tc
0.000 0.000 0.000 Ti
```

=====

(14)
A plane-wave DFT calculation with PBE was carried out for a geometry-optimized Cd2AsIr structure.

Output
total DFT energy (no corrections): -0.1307 hartree per atom
theoretical density: 10.84 Mg/m³
space group: R-3m, No. 166
E_form: 0.28 eV per atom

The structure in POSCAR format:
```
Cd2AsIr
1.0
9.505 -0.118 -0.069
9.053 2.900 -0.069
9.053 1.357 2.564
As Ir Cd
1 1 2
Cartesian
20.709 3.104 1.819 As
6.903 1.035 0.606 Ir
27.486 4.120 2.414 Cd
13.932 2.088 1.224 Cd
```